[1]
Here is crystalline TaAl2Tc at its relaxed geometry from Alexandria. Energies are from PBE.

Summary:
- formation energy from the elements (eV per atom) = 0.264
- energy relative to the lowest polymorph listed for this composition (eV per atom) = 0.6454

Cell lengths 7.0326, 7.0326, 5.6629 Å; angles 51.62, 51.62, 90.00 degrees
Closest atoms and distances in Å follow each position.
Sites, in units of the cell vectors:
Ta 0.7500 0.2500 0.5000  4 Al 2.68, 2 Tc 2.71
Al 0.1451 0.6250 0.2500  2 Tc 2.48, 2 Ta 2.68, 2 Al 2.72
Al 0.8750 0.8550 0.7500  2 Tc 2.48, 2 Ta 2.68, 2 Al 2.72
Tc 0.2500 0.7500 0.5000  4 Al 2.48, 2 Ta 2.71
Al 0.3750 0.3950 0.7500  2 Tc 2.48, 2 Ta 2.68, 2 Al 2.72
Tc 0.5000 0.5000 0.0000  4 Al 2.48, 2 Ta 2.71
Al 0.6050 0.1250 0.2500  2 Tc 2.48, 2 Ta 2.68, 2 Al 2.72
Ta 0.0000 0.0000 0.0000  4 Al 2.68, 2 Tc 2.71


[2]
Here is crystalline CaNdRh2 at its relaxed geometry from Alexandria. Energies are from PBE.

Summary:
- formation energy from the elements (eV per atom) = -0.515

Cell lengths 3.4956, 4.9093, 4.9093 Å; angles 90.00, 90.00, 90.00 degrees
Closest atoms and distances in Å follow each position.
Sites, in units of the cell vectors:
Rh 0.0000 0.5000 0.0000  4 Ca 3.01, 4 Nd 3.01
Ca 0.5000 0.0000 0.0000  8 Rh 3.01
Rh 0.0000 0.0000 0.5000  4 Nd 3.01, 4 Ca 3.01
Nd 0.5000 0.5000 0.5000  8 Rh 3.01


[3]
Here is crystalline LiPm3Te4 at its relaxed geometry from Alexandria. Energies are from PBE.

Summary:
- uncorrected formation energy (eV per formula unit) = -10.98
- energy relative to the lowest polymorph listed for this composition (eV per atom) = 0.0025

Cell lengths 4.4174, 7.6846, 7.6846 Å; angles 109.27, 90.00, 90.00 degrees
Closest atoms and distances in Å follow each position.
Sites, in units of the cell vectors:
Te 0.0000 0.2393 0.2393  2 Li 3.07, 4 Pm 3.13-3.20
Pm 0.5000 0.5000 0.5000  6 Te 3.20-3.22
Pm 0.0000 0.5000 0.0000  6 Te 3.13-3.14
Li 0.5000 0.0000 0.0000  6 Te 3.05-3.07
Te 0.5000 0.2434 0.7566  1 Li 3.05, 5 Pm 3.14-3.22
Pm 0.0000 0.0000 0.5000  6 Te 3.13-3.14
Te 0.5000 0.7566 0.2434  1 Li 3.05, 5 Pm 3.14-3.22
Te 0.0000 0.7607 0.7607  2 Li 3.07, 4 Pm 3.13-3.20


| no. | final energy (eV/atom) | magnetization (μB per cell) |
| --- | --- | --- |
| 1 | -7.162 | 0.0 |
| 2 | -5.883 | 0.0 |
| 3 | -4.964 | 0.0 |